1.
DFT (PBE) results for a geometry-optimized NaTiAs structure.

a = 4.1259 Å, b = 4.1259 Å, c = 10.8619 Å
α = 79.05°, β = 79.05°, γ = 60.00°
Last column: magnetic moment on the atom in μB.
Fractional coordinates of all 6 atoms:
Na1 0.1142 0.1142 0.6573  0.00
Na2 0.8858 0.8858 0.3427  0.00
As1 0.6102 0.6102 0.1693  -0.04
As2 0.3898 0.3898 0.8307  -0.04
Ti1 0.3059 0.3059 0.0824  0.81
Ti2 0.6941 0.6941 0.9176  0.81

- Size of the total moment: 0.31 μB/atom
- Total energy: -30.6 eV for the cell shown
- V: 156.2 Å³ per cell



2.
DFT (PBE) results for a geometry-optimized LaGaAsCl2 structure.

a = 5.5023 Å, b = 5.9176 Å, c = 5.5023 Å
α = 90.00°, β = 90.00°, γ = 90.00°
Last column: magnetic moment on the atom in μB.
Fractional coordinates of all 5 atoms:
As1 0.0000 0.0000 0.0000  -0.03
Ga1 0.5000 0.5000 0.5000  0.08
Cl1 0.5000 0.0000 0.0000  0.00
Cl2 0.0000 0.0000 0.5000  0.00
La1 0.0000 0.5000 0.0000  0.08

- Size of the total moment: 0.08 μB/atom
- Formation energy (no corrections): -1.02 eV per formula unit
- V: 179.2 Å³ per cell